[1]
This record from Alexandria via LeMat-Bulk describes a relaxed Pm12Tm5Th crystal. The functional is PBE-GGA.

Cell and atoms, written as POSCAR:
```
Pm12Tm5Th
1.0
12.195 0.000 0.007
6.098 8.437 0.003
-0.025 0.000 5.793
Pm Tm Th
12 5 1
Cartesian
9.730 0.000 3.228
2.441 0.000 2.572
8.502 0.000 0.310
3.669 0.000 5.490
7.904 5.437 0.034
4.267 5.437 5.765
14.001 3.000 0.037
10.364 3.000 5.769
7.905 3.030 2.882
14.003 5.407 2.886
4.266 3.030 2.917
10.363 5.407 2.921
6.085 0.000 2.900
6.085 6.139 2.900
12.183 2.298 2.903
12.195 6.126 0.007
6.098 2.311 0.003
0.000 0.000 0.000
```

Raw total energy = -4.738 eV/atom
Magnetic moment = 0.00 μB/cell
Density of states at the Fermi level = 1.449 states/eV/atom
Symmetry = C2/m (12)
Mass density = 7.85 g/cm³

[2]
This record from Alexandria via LeMat-Bulk describes a relaxed PmTm3Th3 crystal. The functional is PBE-GGA.

Cell and atoms, written as POSCAR:
```
PmTm3Th3
1.0
-4.203 7.482 1.464
-8.704 0.031 0.143
-4.125 1.148 7.580
Pm Tm Th
2 6 6
Cartesian
-6.145 3.125 3.315
-10.887 5.536 5.872
-8.258 5.605 1.562
-8.990 1.068 4.481
-5.889 5.093 6.437
-11.143 3.568 2.750
-8.041 7.593 4.705
-8.774 3.057 7.625
-8.515 6.383 8.136
-11.858 2.294 5.793
-10.892 7.223 2.936
-6.139 1.438 6.250
-5.173 6.367 3.394
-8.516 2.278 1.051
```

Raw total energy = -5.464 eV/atom
Magnetic moment = 0.00 μB/cell
Density of states at the Fermi level = 1.411 states/eV/atom
Symmetry = R-3 (148)
Mass density = 9.44 g/cm³

[3]
This record from Alexandria via LeMat-Bulk describes a relaxed Pm2Tm2Th3 crystal. The functional is PBE-GGA.

Cell and atoms, written as POSCAR:
```
Pm2Tm2Th3
1.0
-1.037 -0.899 -3.259
-2.856 -1.604 1.351
-8.882 16.081 0.309
Pm Tm Th
2 2 3
Cartesian
-6.924 8.336 -0.097
-5.852 5.242 -1.503
-2.587 4.302 -0.363
-7.332 10.880 -2.587
-9.527 12.665 -0.462
-3.249 0.913 -1.137
0.000 0.000 0.000
```

Raw total energy = -5.738 eV/atom
Magnetic moment = 0.00 μB/cell
Density of states at the Fermi level = 1.522 states/eV/atom
Symmetry = Cmmm (65)
Mass density = 9.59 g/cm³